Record 1
First-principles (PBE) data for a relaxed structure of LiTbMgSc, as listed in Alexandria.

## Properties
As for the magnetization: 0.0 Bohr magnetons per cell. The density of states at the Fermi level comes out at 25.69 states/eV/cell. The total energy comes out at -3.54 eV per atom.

Structure (CIF):
```
data_LiTbMgSc
_space_group_name_H-M_alt 'F -4 3 m'
_space_group_IT_number 216
_space_group_name_Hall 'F -4 2 3'
_cell_length_a 7.3259
_cell_length_b 7.3259
_cell_length_c 7.3259
_cell_angle_alpha 90.00
_cell_angle_beta 90.00
_cell_angle_gamma 90.00
loop_
_atom_site_label
_atom_site_fract_x
_atom_site_fract_y
_atom_site_fract_z
_atom_site_occupancy
Li1 0.0000 0.0000 0.0000 1
Tb1 0.2500 0.2500 0.7500 1
Mg1 0.0000 0.0000 0.5000 1
Sc1 0.2500 0.2500 0.2500 1
```

---

Record 2
First-principles (PBE) data for a relaxed structure of PmPdPt, as listed in Alexandria.

## Properties
As for the magnetization: 0.0 Bohr magnetons per cell. The density of states at the Fermi level comes out at 2.76 states/eV/cell. The total energy comes out at -6.16 eV per atom.

Structure (CIF):
```
data_PmPdPt
_space_group_name_H-M_alt 'P -6 m 2'
_space_group_IT_number 187
_space_group_name_Hall 'P -6 2'
_cell_length_a 4.4923
_cell_length_b 4.4923
_cell_length_c 3.7529
_cell_angle_alpha 90.00
_cell_angle_beta 90.00
_cell_angle_gamma 120.00
loop_
_atom_site_label
_atom_site_fract_x
_atom_site_fract_y
_atom_site_fract_z
_atom_site_occupancy
Pm1 0.0000 0.0000 0.0000 1
Pd1 0.6667 0.3333 0.5000 1
Pt1 0.3333 0.6667 0.5000 1
```

---

Record 3
First-principles (PBE) data for a relaxed structure of AlSiAgS4, as listed in Alexandria.

## Properties
As for the magnetization: 0.0 Bohr magnetons per cell. The density of states at the Fermi level comes out at 0.00 states/eV/cell. The total energy comes out at -4.78 eV per atom. The value obtained for the uncorrected formation energy is -0.70 eV/atom.

Structure (CIF):
```
data_AlSiAgS4
_space_group_name_H-M_alt 'I -4'
_space_group_IT_number 82
_space_group_name_Hall 'I -4'
_cell_length_a 5.7508
_cell_length_b 5.7508
_cell_length_c 9.5506
_cell_angle_alpha 90.00
_cell_angle_beta 90.00
_cell_angle_gamma 90.00
loop_
_atom_site_label
_atom_site_fract_x
_atom_site_fract_y
_atom_site_fract_z
_atom_site_occupancy
Al1 0.0000 0.0000 0.0000 1
Si1 0.0000 0.5000 0.2500 1
Ag1 0.0000 0.0000 0.5000 1
S1 0.2063 0.2522 0.1364 1
```